[1]
The following is a GGA-PBE calculation of LiInNi2 after structural relaxation, from Alexandria via LeMat-Bulk.

## Properties
**M_tot**: 0.00 μB per cell
**Formation energy from the elements**: -0.006 eV/atom
**Crystal system**: orthorhombic

abc: 2.803 3.582 5.505
angles: 90.00 90.00 90.00
Atoms (fractional coordinates):
Li (0.000, 0.000, 0.000)
In (0.500, 0.500, 0.704)
Ni (0.000, 0.000, 0.441)
Ni (0.500, 0.500, 0.214)

[2]
The following is a GGA-PBE calculation of TbTm2Pu after structural relaxation, from Alexandria via LeMat-Bulk.

## Properties
**M_tot**: 6.34 μB per cell
**Formation energy from the elements**: 0.091 eV/atom
**Polymorph energy (0 for the lowest one)**: 3 meV per atom
**Crystal system**: tetragonal

abc: 3.471 3.471 9.890
angles: 90.00 90.00 90.00
Atoms (fractional coordinates):
Tb (0.000, 0.000, 0.000)
Tm (0.500, 0.500, 0.256)
Tm (0.500, 0.500, 0.744)
Pu (0.000, 0.000, 0.500)

[3]
The following is a GGA-PBE calculation of MnSnAu2 after structural relaxation, from Alexandria via LeMat-Bulk.

## Properties
**M_tot**: 4.17 μB per cell
**Formation energy from the elements**: -0.051 eV/atom
**Crystal system**: tetragonal

abc: 3.460 3.460 6.402
angles: 90.00 90.00 90.00
Atoms (fractional coordinates):
Mn (0.000, 0.000, 0.000)
Sn (0.000, 0.000, 0.500)
Au (0.500, 0.500, 0.222)
Au (0.500, 0.500, 0.778)